The following is a DFT calculation (PBE) of an optimized crystal structure of LaTb2Pb. Values from VASP.

Quantum ESPRESSO input file:
```
&SYSTEM
  ibrav = 0, nat = 4, ntyp = 3
/
ATOMIC_SPECIES
Pb 207.20 Pb.upf
Tb 158.93 Tb.upf
La 138.91 La.upf
CELL_PARAMETERS angstrom
-2.789 0.623 -2.162
-1.360 -2.657 -1.982
-9.035 -3.514 7.673
ATOMIC_POSITIONS angstrom
Pb 0.000 0.000 0.000
Tb -7.039 -2.774 5.312
Tb -6.144 -2.774 -1.782
La -6.592 -2.774 1.765
```

Results
**SG**: R-3m, No. 166
**Polymorph energy (0 for the lowest one)**: 372 meV/atom
**N(E_F)**: 0.82 states/eV/atom
**ρ**: 8.136 g/cm³
**Calculated formation energy**: 0.044 eV per atom

***

The following is a DFT calculation (PBE) of an optimized crystal structure of LaTb2Pb. Values from VASP.

Quantum ESPRESSO input file:
```
&SYSTEM
  ibrav = 0, nat = 4, ntyp = 3
/
ATOMIC_SPECIES
Pb 207.20 Pb.upf
Tb 158.93 Tb.upf
La 138.91 La.upf
CELL_PARAMETERS angstrom
-1.356 -1.001 -4.553
0.151 -4.880 1.028
-4.788 0.145 1.394
ATOMIC_POSITIONS angstrom
Pb -0.678 -0.501 -2.276
Tb -2.394 0.073 0.697
Tb 0.076 -2.440 0.514
La -2.997 -2.868 -1.065
```

Results
**SG**: P4/mmm, No. 123
**Polymorph energy (0 for the lowest one)**: 19 meV/atom
**N(E_F)**: 1.56 states/eV/atom
**ρ**: 9.123 g/cm³
**Calculated formation energy**: -0.309 eV per atom

***

The following is a DFT calculation (PBE) of an optimized crystal structure of La2TbPb3. Values from VASP.

Quantum ESPRESSO input file:
```
&SYSTEM
  ibrav = 0, nat = 12, ntyp = 3
/
ATOMIC_SPECIES
La 138.91 La.upf
Tb 158.93 Tb.upf
Pb 207.20 Pb.upf
CELL_PARAMETERS angstrom
6.556 0.000 0.000
0.000 7.590 0.003
-3.278 -1.897 8.128
ATOMIC_POSITIONS angstrom
La 3.268 3.794 2.728
La 3.289 -0.002 2.726
La -0.011 5.695 5.404
La 0.011 1.900 5.403
Tb 6.509 5.693 0.002
Tb 0.048 1.898 0.001
Pb 3.332 1.898 0.001
Pb 3.224 5.693 0.002
Pb 0.011 0.003 2.623
Pb 3.289 1.895 5.507
Pb -0.011 3.798 2.624
Pb 3.267 5.690 5.508
```

Results
**SG**: C2/c, No. 15
**Polymorph energy (0 for the lowest one)**: 88 meV/atom
**N(E_F)**: 0.79 states/eV/atom
**ρ**: 8.689 g/cm³
**Calculated formation energy**: -0.451 eV per atom